First-principles (PBE-GGA) data for an optimized crystal structure of Pm4AsSe2I, as listed in the Alexandria database.

Structure (POSCAR):
```
Pm4AsSe2I
1.0
7.371 0.000 0.000
0.000 4.275 0.000
-2.491 0.000 7.119
Pm As Se I
4 1 2 1
Direct
0.222 0.000 0.211
0.244 0.500 0.777
0.756 0.500 0.223
0.778 0.000 0.789
0.500 0.000 0.000
0.000 0.000 0.500
0.000 0.500 0.000
0.500 0.500 0.500
```

energy relative to the elements, uncorrected = -1.52 eV per atom
VASP energy = -44.31 eV per formula unit